1.
Computed, not measured: a relaxed CdGe crystal at the GGA-PBE level of DFT.

Cell: 10.6778 10.6778 4.0258 Å, 90.00 90.00 90.00°
Atoms (fractional coordinates):
Cd: 0.7003 0.4627 0.0000
Cd: 0.9627 0.7997 0.5000
Cd: 0.4627 0.2997 0.0000
Cd: 0.7997 0.0373 0.5000
Cd: 0.5373 0.7003 0.0000
Cd: 0.2997 0.5373 0.0000
Cd: 0.2003 0.9627 0.5000
Cd: 0.0373 0.2003 0.5000
Ge: 0.6888 0.1967 0.0000
Ge: 0.3112 0.8033 0.0000
Ge: 0.6967 0.8112 0.5000
Ge: 0.8112 0.3033 0.5000
Ge: 0.3033 0.1888 0.5000
Ge: 0.1888 0.6967 0.5000
Ge: 0.8033 0.6888 0.0000
Ge: 0.1967 0.3112 0.0000

Values from the calculation:
Crystal system = tetragonal
E_form = 0.25 eV per atom
Space group = I4/m
DOS(E_F) = 4.4 states/eV/cell

***

2.
Computed, not measured: a relaxed Ge2Pb2Au3 crystal at the GGA-PBE level of DFT.

Cell: 4.1709 7.4881 7.0952 Å, 127.31 107.27 89.79°
Atoms (fractional coordinates):
Pb: 0.5982 0.8334 0.1950
Pb: 0.4018 0.1666 0.8050
Ge: 0.7679 0.6507 0.5312
Ge: 0.2321 0.3493 0.4688
Au: 0.0000 0.0000 0.0000
Au: 0.8812 0.4614 0.7668
Au: 0.1188 0.5386 0.2332

Values from the calculation:
Crystal system = triclinic
E_form = -0.04 eV per atom
Space group = P-1
DOS(E_F) = 2.4 states/eV/cell

***

3.
Computed, not measured: a relaxed SrZn12Ir4 crystal at the GGA-PBE level of DFT.

Cell: 8.2537 8.2537 8.2537 Å, 109.47 109.47 109.47°
Atoms (fractional coordinates):
Zn: 0.0000 0.7143 0.2857
Zn: 0.2857 0.2857 0.5714
Zn: 0.0000 0.2857 0.7143
Zn: 0.5714 0.2857 0.2857
Zn: 0.7143 0.7143 0.4286
Zn: 0.4286 0.7143 0.7143
Zn: 0.2857 0.5714 0.2857
Zn: 0.7143 0.0000 0.2857
Zn: 0.2857 0.7143 0.0000
Zn: 0.7143 0.2857 0.0000
Zn: 0.7143 0.4286 0.7143
Zn: 0.2857 0.0000 0.7143
Sr: 0.0000 0.0000 0.0000
Ir: 0.5000 0.0000 0.0000
Ir: 0.5000 0.5000 0.5000
Ir: 0.0000 0.0000 0.5000
Ir: 0.0000 0.5000 0.0000

Values from the calculation:
Crystal system = cubic
E_form = 0.05 eV per atom
Space group = Im-3m
DOS(E_F) = 5.2 states/eV/cell

***

4.
Computed, not measured: a relaxed Pa4Co12B3P crystal at the GGA-PBE level of DFT.

Cell: 6.9758 6.9758 6.9758 Å, 109.47 109.47 109.47°
Atoms (fractional coordinates):
Co: 0.2500 0.7500 0.5000
Co: 0.7500 0.5000 0.2500
Co: 0.7334 0.0000 0.7334
Co: 0.0000 0.2666 0.2666
Co: 0.7500 0.2500 0.5000
Co: 0.2666 0.2666 0.0000
Co: 0.2500 0.5000 0.7500
Co: 0.0000 0.7334 0.7334
Co: 0.7334 0.7334 0.0000
Co: 0.5000 0.2500 0.7500
Co: 0.5000 0.7500 0.2500
Co: 0.2666 0.0000 0.2666
Pa: 0.5000 0.5000 0.5000
Pa: 0.0000 0.5000 0.0000
Pa: 0.5000 0.0000 0.0000
Pa: 0.0000 0.0000 0.5000
P: 0.0000 0.0000 0.0000
B: 0.5000 0.5000 0.0000
B: 0.0000 0.5000 0.5000
B: 0.5000 0.0000 0.5000

Values from the calculation:
Crystal system = cubic
E_form = -0.34 eV per atom
Space group = Im-3m
DOS(E_F) = 23.3 states/eV/cell

***

5.
Computed, not measured: a relaxed Th2Ni3AgGe4 crystal at the GGA-PBE level of DFT.

Cell: 4.2407 4.2407 9.8986 Å, 90.00 90.00 90.00°
Atoms (fractional coordinates):
Ni: 0.0000 0.0000 0.5000
Ni: 0.0000 0.5000 0.1161
Ni: 0.5000 0.0000 0.8839
Th: 0.5000 0.0000 0.2422
Th: 0.0000 0.5000 0.7578
Ge: 0.5000 0.5000 0.0000
Ge: 0.0000 0.0000 0.0000
Ge: 0.5000 0.0000 0.6451
Ge: 0.0000 0.5000 0.3549
Ag: 0.5000 0.5000 0.5000

Values from the calculation:
Crystal system = tetragonal
E_form = -0.62 eV per atom
Space group = P-4m2
DOS(E_F) = 5.4 states/eV/cell

***

6.
Computed, not measured: a relaxed YTiCu crystal at the GGA-PBE level of DFT.

Cell: 3.9612 4.0917 8.0523 Å, 75.33 104.29 90.01°
Atoms (fractional coordinates):
Y: 0.0330 0.0947 0.7565
Y: 0.6867 0.4405 0.0648
Ti: 0.8668 0.7597 0.4251
Ti: 0.2518 0.8755 0.1952
Cu: 0.4718 0.6561 0.6338
Cu: 0.3600 0.2661 0.4137

Values from the calculation:
Crystal system = triclinic
E_form = 0.06 eV per atom
Space group = P1
DOS(E_F) = 8.1 states/eV/cell

***

7.
Computed, not measured: a relaxed PmPr5Sm2Th crystal at the GGA-PBE level of DFT.

Cell: 5.7894 10.7828 10.6791 Å, 90.00 90.00 105.57°
Atoms (fractional coordinates):
Pr: 0.3858 0.7716 0.0255
Pr: 0.5195 0.0391 0.2431
Pr: 0.4805 0.9609 0.7431
Pr: 0.0151 0.0302 0.0200
Pr: 0.2935 0.5870 0.7044
Pr: 0.9849 0.9698 0.5200
Pr: 0.7065 0.4130 0.2044
Pr: 0.6142 0.2284 0.5255
Pr: 0.2757 0.5515 0.3154
Pr: 0.7243 0.4485 0.8154
Sm: 0.1160 0.2319 0.3164
Sm: 0.8852 0.7704 0.2335
Sm: 0.8840 0.7681 0.8164
Sm: 0.1148 0.2296 0.7335
Pm: 0.5926 0.1852 0.9532
Pm: 0.4074 0.8148 0.4532
Th: 0.8017 0.6034 0.5124
Th: 0.1983 0.3966 0.0124

Values from the calculation:
Crystal system = orthorhombic
E_form = 0.15 eV per atom
Space group = Cmc2_1
DOS(E_F) = 25.5 states/eV/cell

***

8.
Computed, not measured: a relaxed Ca2BS crystal at the GGA-PBE level of DFT.

Cell: 7.1516 7.1516 6.3134 Å, 55.50 55.50 90.00°
Atoms (fractional coordinates):
Ca: 0.1280 0.6250 0.2500
Ca: 0.6220 0.1250 0.2500
Ca: 0.3750 0.3780 0.7500
Ca: 0.8750 0.8720 0.7500
S: 0.0000 0.0000 0.0000
S: 0.7500 0.2500 0.5000
B: 0.2500 0.7500 0.5000
B: 0.5000 0.5000 0.0000

Values from the calculation:
Crystal system = tetragonal
Formation energy from raw total energies = -0.2465 eV/atom
Space group = I-42d
DOS(E_F) = 3.2 states/eV/cell

***

9.
Computed, not measured: a relaxed Sr3CF crystal at the GGA-PBE level of DFT.

Cell: 5.4162 5.4162 5.4162 Å, 90.00 90.00 90.00°
Atoms (fractional coordinates):
C: 0.0000 0.0000 0.0000
Sr: 0.5000 0.0000 0.0000
Sr: 0.0000 0.0000 0.5000
Sr: 0.0000 0.5000 0.0000
F: 0.5000 0.5000 0.5000

Values from the calculation:
Crystal system = cubic
Formation energy from raw total energies = -0.3468 eV/atom
Space group = Pm-3m
DOS(E_F) = 1.8 states/eV/cell

***

10.
Computed, not measured: a relaxed DyThSc14 crystal at the GGA-PBE level of DFT.

Cell: 6.6837 6.6837 10.4570 Å, 90.00 90.00 119.62°
Atoms (fractional coordinates):
Th: 0.1629 0.8371 0.0000
Sc: 0.3334 0.6666 0.2526
Sc: 0.6657 0.8333 0.5000
Sc: 0.3319 0.1649 0.2578
Sc: 0.8354 0.1646 0.2562
Sc: 0.6668 0.3332 0.5000
Sc: 0.6661 0.8314 0.0000
Sc: 0.3319 0.1649 0.7422
Sc: 0.8351 0.6681 0.2578
Sc: 0.3334 0.6666 0.7474
Sc: 0.1686 0.3339 0.0000
Sc: 0.8354 0.1646 0.7438
Sc: 0.1666 0.8334 0.5000
Sc: 0.1667 0.3343 0.5000
Sc: 0.8351 0.6681 0.7422
Dy: 0.6650 0.3350 0.0000

Values from the calculation:
Crystal system = orthorhombic
E_form = 0.01 eV per atom
Space group = Amm2
DOS(E_F) = 27.3 states/eV/cell

***

11.
Computed, not measured: a relaxed Sc2CdSe crystal at the GGA-PBE level of DFT.

Cell: 3.9877 3.9877 5.7085 Å, 90.00 90.00 90.00°
Atoms (fractional coordinates):
Sc: 0.0000 0.0000 0.8753
Sc: 0.5000 0.5000 0.3748
Cd: 0.5000 0.5000 0.8748
Se: 0.0000 0.0000 0.3752

Values from the calculation:
Crystal system = tetragonal
Formation energy from raw total energies = -0.7121 eV/atom
Space group = P4/mmm
DOS(E_F) = 3.0 states/eV/cell

***

12.
Computed, not measured: a relaxed BeAl2As crystal at the GGA-PBE level of DFT.

Cell: 4.4455 4.4455 4.4455 Å, 60.00 60.00 60.00°
Atoms (fractional coordinates):
Al: 0.2500 0.2500 0.2500
Al: 0.7500 0.7500 0.7500
Be: 0.0000 0.0000 0.0000
As: 0.5000 0.5000 0.5000

Values from the calculation:
Crystal system = cubic
E_form = 0.38 eV per atom
Space group = Fm-3m
DOS(E_F) = 1.6 states/eV/cell

***

13.
Computed, not measured: a relaxed Pm3H12Rh5 crystal at the GGA-PBE level of DFT.

Cell: 10.2005 10.2005 10.2005 Å, 109.47 109.47 109.47°
Atoms (fractional coordinates):
Pm: 0.6250 0.2500 0.3750
Pm: 0.6250 0.3750 0.7500
Pm: 0.1250 0.2500 0.8750
Pm: 0.2500 0.6250 0.8750
Pm: 0.8750 0.1250 0.2500
Pm: 0.7500 0.8750 0.6250
Pm: 0.3750 0.6250 0.2500
Pm: 0.3750 0.7500 0.6250
Pm: 0.7500 0.3750 0.1250
Pm: 0.2500 0.1250 0.3750
Pm: 0.1250 0.8750 0.7500
Pm: 0.8750 0.7500 0.1250
H: 0.8136 0.3249 0.9120
H: 0.6751 0.1864 0.5880
H: 0.3136 0.4120 0.8249
H: 0.1751 0.0880 0.6864
H: 0.0112 0.5984 0.6864
H: 0.9120 0.0872 0.5984
H: 0.5880 0.6864 0.6751
H: 0.6864 0.5880 0.1751
H: 0.8136 0.4888 0.4016
H: 0.3136 0.9016 0.9888
H: 0.9888 0.5872 0.1751
H: 0.9016 0.5880 0.9128
H: 0.0872 0.9120 0.0984
H: 0.0880 0.1751 0.1864
H: 0.4888 0.6751 0.0872
H: 0.4888 0.8136 0.9016
H: 0.4120 0.0984 0.5872
H: 0.0880 0.9128 0.4016
H: 0.5880 0.9016 0.4128
H: 0.4016 0.9888 0.8136
H: 0.9128 0.8249 0.5112
H: 0.8249 0.9128 0.0112
H: 0.5112 0.1864 0.0984
H: 0.9888 0.4016 0.3136
H: 0.4128 0.4016 0.5880
H: 0.5984 0.5872 0.9120
H: 0.9016 0.3136 0.4888
H: 0.8249 0.9120 0.3136
H: 0.4016 0.4128 0.0880
H: 0.1751 0.0872 0.9888
H: 0.5112 0.3249 0.9128
H: 0.9120 0.8249 0.8136
H: 0.5984 0.0112 0.1864
H: 0.0872 0.1751 0.4888
H: 0.1864 0.5112 0.5984
H: 0.6751 0.4888 0.5872
H: 0.0112 0.4128 0.8249
H: 0.1864 0.6751 0.0880
H: 0.9128 0.0880 0.9016
H: 0.4128 0.0112 0.3249
H: 0.4120 0.3136 0.3249
H: 0.5872 0.5984 0.4120
H: 0.6864 0.0984 0.0112
H: 0.5872 0.9888 0.6751
H: 0.3249 0.5112 0.4128
H: 0.0984 0.6864 0.5112
H: 0.0984 0.4120 0.0872
H: 0.3249 0.8136 0.4120
Rh: 0.5000 0.5000 0.5000
Rh: 0.7500 0.1250 0.8750
Rh: 0.0000 0.0000 0.5000
Rh: 0.7500 0.6250 0.3750
Rh: 0.1250 0.7500 0.3750
Rh: 0.2500 0.8750 0.1250
Rh: 0.5000 0.0000 0.5000
Rh: 0.2500 0.3750 0.6250
Rh: 0.6250 0.8750 0.2500
Rh: 0.0000 0.0000 0.0000
Rh: 0.3750 0.2500 0.1250
Rh: 0.6250 0.7500 0.8750
Rh: 0.8750 0.6250 0.7500
Rh: 0.5000 0.0000 0.0000
Rh: 0.0000 0.5000 0.5000
Rh: 0.1250 0.3750 0.2500
Rh: 0.8750 0.2500 0.6250
Rh: 0.5000 0.5000 0.0000
Rh: 0.3750 0.1250 0.7500
Rh: 0.0000 0.5000 0.0000

Values from the calculation:
Crystal system = cubic
Space group = Ia-3d
Uncorrected energy = -393.3 eV per cell
DOS(E_F) = 22.0 states/eV/cell

***

14.
Computed, not measured: a relaxed CaTa2Fe crystal at the GGA-PBE level of DFT.

Cell: 4.7420 4.7420 4.7420 Å, 60.00 60.00 60.00°
Each line ends with the local moment (μB).
Atoms (fractional coordinates):
Ta: 0.0000 0.0000 0.0000  -0.16
Ta: 0.2500 0.2500 0.2500  0.69
Fe: 0.7500 0.7500 0.7500  2.48
Ca: 0.5000 0.5000 0.5000  0.04

Values from the calculation:
Crystal system = cubic
E_form = 0.74 eV per atom
Space group = F-43m
DOS(E_F) = 5.7 states/eV/cell

***

15.
Computed, not measured: a relaxed MgHgOs2 crystal at the GGA-PBE level of DFT.

Cell: 2.7651 2.7651 9.7474 Å, 90.00 90.00 116.80°
Atoms (fractional coordinates):
Mg: 0.5000 0.5000 0.7500
Os: 0.0000 0.0000 0.5165
Os: 0.0000 0.0000 0.9835
Hg: 0.5000 0.5000 0.2500

Values from the calculation:
Crystal system = orthorhombic
E_form = 0.68 eV per atom
Space group = Cmmm
DOS(E_F) = 4.1 states/eV/cell

***

16.
Computed, not measured: a relaxed K2Na5InHg2 crystal at the GGA-PBE level of DFT.

Cell: 4.7496 12.0998 12.0998 Å, 90.00 90.00 90.00°
Atoms (fractional coordinates):
Hg: 0.0000 0.8778 0.3778
Hg: 0.0000 0.3778 0.1222
Hg: 0.0000 0.6222 0.8778
Hg: 0.0000 0.1222 0.6222
Na: 0.5000 0.9342 0.1977
Na: 0.5000 0.5658 0.6977
Na: 0.5000 0.4342 0.3023
Na: 0.5000 0.3023 0.5658
Na: 0.5000 0.6977 0.4342
Na: 0.5000 0.5000 0.0000
Na: 0.5000 0.8023 0.9342
Na: 0.5000 0.0658 0.8023
Na: 0.5000 0.1977 0.0658
Na: 0.5000 0.0000 0.5000
K: 0.0000 0.1742 0.3258
K: 0.0000 0.3258 0.8258
K: 0.0000 0.6742 0.1742
K: 0.0000 0.8258 0.6742
In: 0.0000 0.5000 0.5000
In: 0.0000 0.0000 0.0000

Values from the calculation:
Crystal system = tetragonal
E_form = -0.11 eV per atom
Space group = P4/mbm
DOS(E_F) = 9.6 states/eV/cell

***

17.
Computed, not measured: a relaxed LaPrZnRh crystal at the GGA-PBE level of DFT.

Cell: 4.0919 4.3766 6.0229 Å, 90.00 109.86 90.00°
Atoms (fractional coordinates):
Zn: 0.5700 0.5000 0.1401
La: 0.8642 0.5000 0.7284
Pr: 0.1394 0.0000 0.2789
Rh: 0.4263 0.0000 0.8526

Values from the calculation:
Crystal system = orthorhombic
E_form = -0.52 eV per atom
Space group = Amm2
DOS(E_F) = 3.4 states/eV/cell

***

18.
Computed, not measured: a relaxed SrAlZn2Cu crystal at the GGA-PBE level of DFT.

Cell: 4.7748 4.7748 4.6943 Å, 90.00 90.00 90.00°
Atoms (fractional coordinates):
Al: 0.0000 0.0000 0.5000
Cu: 0.0000 0.0000 0.0000
Zn: 0.5000 0.0000 0.0000
Zn: 0.0000 0.5000 0.0000
Sr: 0.5000 0.5000 0.5000

Values from the calculation:
Crystal system = tetragonal
E_form = -0.06 eV per atom
Space group = P4/mmm
DOS(E_F) = 2.6 states/eV/cell

***

19.
Computed, not measured: a relaxed Hf2InPt crystal at the GGA-PBE level of DFT.

Cell: 4.2414 4.2922 4.2922 Å, 90.00 90.00 90.00°
Atoms (fractional coordinates):
In: 0.5000 0.0000 0.0000
Pt: 0.5000 0.5000 0.5000
Hf: 0.0000 0.5000 0.0000
Hf: 0.0000 0.0000 0.5000

Values from the calculation:
Crystal system = tetragonal
E_form = -0.50 eV per atom
Space group = P4/mmm
DOS(E_F) = 3.9 states/eV/cell

***

20.
Computed, not measured: a relaxed Y2CdHg crystal at the GGA-PBE level of DFT.

Cell: 3.9779 3.9781 6.8062 Å, 90.00 90.00 90.00°
Each line ends with the local moment (μB).
Atoms (fractional coordinates):
Y: 0.0000 0.0000 0.9703  0.16
Y: 0.5000 0.5000 0.2792  0.15
Hg: 0.5000 0.5000 0.7549  0.00
Cd: 0.0000 0.0000 0.4957  0.00

Values from the calculation:
Crystal system = tetragonal
E_form = -0.27 eV per atom
Space group = P4mm
DOS(E_F) = 3.2 states/eV/cell